K4LiTe at its PBEsol-relaxed geometry, computed with meta-GGA SCAN.

Lattice parameters (Å, degrees): 7.300 7.300 7.300 60.00 60.00 60.00
Positions (direct):
K 0.377 0.377 0.377
K 0.377 0.377 0.870
K 0.377 0.870 0.377
K 0.870 0.377 0.377
Li 0.000 0.000 0.000
Te 0.750 0.750 0.750

Calculated values
Its uncorrected energy is -72.91 eV per cell. As for the uncorrected formation energy: 8 meV/atom. The density of states at the Fermi level comes out at 1.907 states/eV per cell.

---

KSr3Cu at its PBEsol-relaxed geometry, computed with meta-GGA SCAN.

Lattice parameters (Å, degrees): 6.103 6.103 6.103 90.00 90.00 90.00
Positions (direct):
K 0.000 0.000 0.000
Sr 0.000 0.500 0.500
Sr 0.500 0.000 0.500
Sr 0.500 0.500 0.000
Cu 0.500 0.500 0.500

Calculated values
As for the calculated formation energy: 0.04 eV per atom. Its uncorrected energy is -90.16 eV per cell. The density of states at the Fermi level comes out at 3.595 states/eV per cell.